Record 1
A geometry-optimized MnRhPb2 structure, computed with GGA-PBE.

a b c (Å): 3.2596 3.2596 29.2735
angles (deg): 90.00 90.00 120.00
Space group R3m (No. 160, hexagonal axes)
Symmetry-distinct sites (fractional):
Mn 0.0000 0.0000 0.0000 [3 per cell]
Rh 0.0000 0.0000 0.2727 [3 per cell]
Pb 0.0000 0.0000 0.5311 [3 per cell]
Pb 0.0000 0.0000 0.7515 [3 per cell]

Results
The raw total energy is -5.750 eV per atom. The calculation puts the formation energy at 22.6 kJ per mole of atoms.

=====

Record 2
A geometry-optimized LaPr2Tm8 structure, computed with GGA-PBE.

a b c (Å): 19.0166 7.0028 5.5098
angles (deg): 90.00 92.77 90.00
Space group C2/m (No. 12)
Symmetry-distinct sites (fractional):
La 0.0000 0.0000 0.0000 [2 per cell]
Pr 0.2147 0.5000 0.2476 [4 per cell]
Tm 0.0456 0.5000 0.2398 [4 per cell]
Tm 0.1316 0.2672 0.7313 [8 per cell]
Tm 0.1861 0.0000 0.2342 [4 per cell]

Results
The raw total energy is -4.421 eV per atom. The calculation puts the formation energy at 14.3 kJ per mole of atoms.

=====

Record 3
A geometry-optimized Sm2CdSb3Rh4 structure, computed with GGA-PBE.

a b c (Å): 4.3540 4.3540 11.1736
angles (deg): 90.00 90.00 90.00
Space group P-4m2 (No. 115)
Symmetry-distinct sites (fractional):
Sm 0.0000 0.5000 0.2482 [2 per cell]
Cd 0.5000 0.5000 0.0000 [1 per cell]
Sb 0.0000 0.0000 0.0000 [1 per cell]
Sb 0.0000 0.5000 0.6325 [2 per cell]
Rh 0.0000 0.0000 0.5000 [1 per cell]
Rh 0.0000 0.5000 0.8578 [2 per cell]
Rh 0.5000 0.5000 0.5000 [1 per cell]

Results
For the uncorrected formation energy, the calculation gives -716 meV/atom. The raw total energy is -5.929 eV per atom.

=====

Record 4
A geometry-optimized Ce2ErTe4 structure, computed with GGA-PBE.

a b c (Å): 4.2603 14.7736 15.3117
angles (deg): 90.00 90.00 90.00
Space group Cmcm (No. 63)
Symmetry-distinct sites (fractional):
Ce 0.0000 0.1354 0.0700 [8 per cell]
Er 0.0000 0.3758 0.2500 [4 per cell]
Te 0.0000 0.0266 0.2500 [4 per cell]
Te 0.0000 0.2156 0.6274 [8 per cell]
Te 0.0000 0.5000 0.0000 [4 per cell]

Results
For the uncorrected formation energy, the calculation gives -1281 meV/atom. The raw total energy is -5.423 eV per atom.

=====

Record 5
A geometry-optimized AgPd2O3 structure, computed with GGA-PBE.

a b c (Å): 6.2477 6.2477 4.9922
angles (deg): 90.00 90.00 120.00
Space group P-3m1 (No. 164)
Symmetry-distinct sites (fractional):
Ag 0.3333 0.6667 0.4403 [2 per cell]
Pd 0.0000 0.0000 0.0000 [1 per cell]
Pd 0.0000 0.5000 0.0000 [3 per cell]
O 0.1713 0.3426 0.8016 [6 per cell]

Results
For the uncorrected formation energy, the calculation gives -306 meV/atom. The raw total energy is -4.991 eV per atom.

=====

Record 6
A geometry-optimized SrAlGa4Ag2 structure, computed with GGA-PBE.

a b c (Å): 4.5889 4.5889 27.8263
angles (deg): 90.00 90.00 120.00
Space group R-3m (No. 166, hexagonal axes)
Symmetry-distinct sites (fractional):
Sr 0.0000 0.0000 0.0000 [3 per cell]
Al 0.0000 0.0000 0.5000 [3 per cell]
Ga 0.0000 0.0000 0.1284 [6 per cell]
Ga 0.0000 0.0000 0.4033 [6 per cell]
Ag 0.0000 0.0000 0.2404 [6 per cell]

Results
The raw total energy is -3.048 eV per atom. The calculation puts the formation energy at -13.8 kJ per mole of atoms.

=====

Record 7
A geometry-optimized BaInSi2Se8 structure, computed with GGA-PBE.

a b c (Å): 6.1114 6.1114 10.0090
angles (deg): 90.00 90.00 120.00
Space group P-3 (No. 147)
Symmetry-distinct sites (fractional):
Ba 0.0000 0.0000 0.0000 [1 per cell]
In 0.0000 0.0000 0.5000 [1 per cell]
Si 0.3333 0.6667 0.7574 [2 per cell]
Se 0.0391 0.6894 0.3104 [6 per cell]
Se 0.3333 0.6667 0.9833 [2 per cell]

Results
For the uncorrected formation energy, the calculation gives -513 meV/atom. The raw total energy is -4.129 eV per atom.

=====

Record 8
A geometry-optimized Sc3Al2Hg3 structure, computed with GGA-PBE.

a b c (Å): 4.4005 10.6570 14.4713
angles (deg): 90.00 90.00 90.00
Space group Cmcm (No. 63)
Symmetry-distinct sites (fractional):
Sc 0.0000 0.0761 0.1137 [8 per cell]
Sc 0.0000 0.3503 0.2500 [4 per cell]
Al 0.0000 0.2097 0.6144 [8 per cell]
Hg 0.0000 0.3761 0.0379 [8 per cell]
Hg 0.0000 0.3774 0.7500 [4 per cell]

Results
The raw total energy is -3.745 eV per atom. The calculation puts the formation energy at -31.0 kJ per mole of atoms.